# MgMn6O4F8, relaxed, DFT PBE with a Hubbard U
# DFT total energy: -6.571 eV/atom
# Fermi-level density of states: 3.08 states/eV per cell
# Total magnetization: 28.0 μB/cell
data_MgMn6O4F8
_space_group_name_H-M_alt 'P 1'
_space_group_IT_number 1
_space_group_name_Hall 'P 1'
_cell_length_a 5.418
_cell_length_b 5.683
_cell_length_c 7.992
_cell_angle_alpha 88.50
_cell_angle_beta 81.70
_cell_angle_gamma 81.57
loop_
_atom_site_label
_atom_site_type_symbol
_atom_site_fract_x
_atom_site_fract_y
_atom_site_fract_z
Mg1 Mg 0.000 0.000 0.000
Mn1 Mn 0.013 0.416 0.187
Mn2 Mn 0.465 0.132 0.799
Mn3 Mn 0.468 0.894 0.190
Mn4 Mn 0.494 0.579 0.511
Mn5 Mn 0.856 0.568 0.757
Mn6 Mn 0.918 0.044 0.511
O1 O 0.287 0.155 0.051
O2 O 0.676 0.605 0.298
O3 O 0.676 0.842 0.621
O4 O 0.705 0.323 0.617
F1 F 0.123 0.000 0.749
F2 F 0.167 0.259 0.405
F3 F 0.188 0.698 0.077
F4 F 0.201 0.781 0.420
F5 F 0.247 0.501 0.714
F6 F 0.726 0.833 0.956
F7 F 0.808 0.071 0.245
F8 F 0.818 0.333 0.961